La5PrTe6 | GGA-PBE | optimized geometry

Values from the calculation:
- Symmetry: C2/m
- Electronic total energy: -5.60 eV per atom
- Crystal system: monoclinic
- Raw formation energy: -1.5737 eV per atom
- D(E_F): 7.62 states/eV/f.u.

The structure in extended XYZ format:
```
12
Lattice="3.954 -6.874 0.000 3.954 6.874 0.000 -2.657 0.000 7.462" Properties=species:S:1:pos:R:3 pbc="T T T"
La 0.000 0.000 0.000
La 2.626 4.594 3.731
La 3.954 2.295 0.000
La 3.954 -2.295 0.000
La 2.626 -4.594 3.731
Pr 2.626 0.000 3.731
Te 1.319 2.286 1.875
Te -0.004 0.000 5.598
Te 1.319 -2.286 1.875
Te 3.933 2.286 5.588
Te 5.256 0.000 1.865
Te 3.933 -2.286 5.588
```